Entry 1:
PBE-GGA SmHoGa3, optimized geometry; DFT total energy = -4.3344 eV/atom; DFT formation energy = -0.66 eV/atom; mass density = 7.6 g/cm³
1.0
4.189 0.000 0.000
0.000 4.239 0.000
0.000 -2.120 12.823
Ga Ho Sm
6 2 2
direct
0.250 0.380 0.759 Ga
0.750 0.323 0.646 Ga
0.250 0.476 0.952 Ga
0.750 0.620 0.241 Ga
0.250 0.677 0.354 Ga
0.750 0.524 0.048 Ga
0.250 0.796 0.592 Ho
0.750 0.204 0.408 Ho
0.250 0.073 0.147 Sm
0.750 0.927 0.853 Sm


Entry 2:
PBE-GGA SmHo3Ga4, optimized geometry; energy above the lowest structure with this stoichiometry = 0.0 meV per atom; DFT total energy = -4.3964 eV/atom; DFT formation energy = -0.58 eV/atom; mass density = 8.4 g/cm³
1.0
5.063 0.000 0.000
0.000 7.148 0.000
0.000 0.000 10.126
Ga Ho Sm
8 6 2
direct
0.001 0.756 0.250 Ga
0.500 0.756 0.500 Ga
0.500 0.244 0.000 Ga
0.999 0.756 0.750 Ga
0.500 0.756 0.000 Ga
0.999 0.244 0.750 Ga
0.001 0.244 0.250 Ga
0.500 0.244 0.500 Ga
0.501 0.500 0.250 Ho
0.000 0.000 0.500 Ho
0.501 0.000 0.250 Ho
0.499 0.000 0.750 Ho
0.499 0.500 0.750 Ho
0.000 0.000 0.000 Ho
0.000 0.500 0.500 Sm
0.000 0.500 0.000 Sm


Entry 3:
PBE-GGA SmHo3Ga4, optimized geometry; energy above the lowest structure with this stoichiometry = 123.5 meV per atom; DFT total energy = -4.2729 eV/atom; DFT formation energy = -0.45 eV/atom; mass density = 7.7 g/cm³
1.0
-1.688 -0.886 -2.989
0.005 -6.510 1.927
-6.476 4.816 4.332
Ho Ga Sm
3 4 1
direct
0.202 0.202 0.405 Ho
0.798 0.798 0.595 Ho
0.000 0.500 0.000 Ho
0.631 0.441 0.262 Ga
0.369 0.179 0.738 Ga
0.631 0.821 0.262 Ga
0.369 0.559 0.738 Ga
0.500 0.000 0.000 Sm


Entry 4:
PBE-GGA Sm8Ho2Ga, optimized geometry; DFT total energy = -4.5567 eV/atom; DFT formation energy = -0.02 eV/atom; mass density = 7.4 g/cm³
1.0
-4.673 2.808 0.850
-1.935 -4.839 5.348
7.330 5.926 2.813
Sm Ho Ga
8 2 1
direct
0.368 0.132 0.736 Sm
0.000 0.248 0.000 Sm
0.183 0.183 0.366 Sm
0.632 0.868 0.264 Sm
0.817 0.817 0.634 Sm
0.632 0.396 0.263 Sm
0.000 0.752 0.000 Sm
0.368 0.604 0.737 Sm
0.808 0.308 0.616 Ho
0.192 0.692 0.384 Ho
0.500 0.000 0.000 Ga


Entry 5:
PBE-GGA Sm3Ho3Ga4, optimized geometry; DFT total energy = -4.5174 eV/atom; DFT formation energy = -0.52 eV/atom; mass density = 7.8 g/cm³
1.0
4.427 0.000 0.000
0.000 7.666 0.003
0.000 0.070 7.666
Ga Sm Ho
4 3 3
direct
0.000 0.883 0.879 Ga
0.000 0.377 0.623 Ga
0.000 0.619 0.381 Ga
0.000 0.121 0.117 Ga
0.500 0.827 0.173 Sm
0.500 0.674 0.675 Sm
0.500 0.325 0.326 Sm
0.000 0.000 0.501 Ho
0.000 0.499 0.000 Ho
0.500 0.176 0.824 Ho


Entry 6:
PBE-GGA Sm3HoGa2, optimized geometry; energy above the lowest structure with this stoichiometry = 0.0 meV per atom; DFT total energy = -4.5390 eV/atom; DFT formation energy = -0.41 eV/atom; mass density = 7.8 g/cm³
1.0
-1.663 3.933 2.747
-0.932 -4.002 5.166
8.963 1.726 2.955
Ga Sm Ho
4 6 2
direct
0.000 0.795 0.354 Ga
0.000 0.295 0.646 Ga
0.500 0.708 0.853 Ga
0.500 0.208 0.147 Ga
0.000 0.976 0.048 Sm
0.500 0.682 0.177 Sm
0.500 0.182 0.823 Sm
0.000 0.317 0.331 Sm
0.000 0.476 0.952 Sm
0.000 0.817 0.669 Sm
0.500 0.022 0.448 Ho
0.500 0.522 0.552 Ho


Entry 7:
PBE-GGA Sm2HoGa4, optimized geometry; DFT total energy = -4.3444 eV/atom; DFT formation energy = -0.61 eV/atom; mass density = 7.5 g/cm³
1.0
-1.482 3.620 -1.441
1.690 -0.842 -3.852
-7.966 -5.615 0.120
Ga Sm Ho
4 2 1
direct
0.642 0.642 0.285 Ga
0.358 0.358 0.715 Ga
0.935 0.435 0.869 Ga
0.065 0.565 0.131 Ga
0.816 0.816 0.631 Sm
0.184 0.184 0.369 Sm
0.500 0.000 0.000 Ho


Entry 8:
PBE-GGA SmHo3Ga, optimized geometry; DFT total energy = -4.3672 eV/atom; DFT formation energy = -0.07 eV/atom; mass density = 7.6 g/cm³
1.0
7.481 -0.130 -0.342
-2.172 7.160 0.342
-3.235 -3.077 5.884
Sm Ho Ga
2 6 2
direct
0.270 0.946 0.217 Sm
0.730 0.054 0.783 Sm
0.229 0.485 0.328 Ho
0.843 0.099 0.328 Ho
0.698 0.430 0.129 Ho
0.771 0.515 0.672 Ho
0.157 0.901 0.672 Ho
0.302 0.570 0.871 Ho
0.364 0.261 0.625 Ga
0.636 0.739 0.375 Ga


Entry 9:
PBE-GGA Sm5HoGa4, optimized geometry; DFT total energy = -4.3026 eV/atom; DFT formation energy = -0.27 eV/atom; mass density = 6.9 g/cm³
1.0
3.748 0.000 0.000
0.000 8.850 0.286
-1.874 -0.998 8.677
Ga Ho Sm
4 1 5
direct
0.022 0.250 0.045 Ga
0.316 0.937 0.632 Ga
0.684 0.063 0.368 Ga
0.978 0.750 0.955 Ga
0.500 0.000 0.000 Ho
0.500 0.500 0.000 Sm
0.814 0.652 0.627 Sm
0.850 0.211 0.699 Sm
0.186 0.348 0.373 Sm
0.150 0.789 0.301 Sm


Entry 10:
PBE-GGA SmHoGa4, optimized geometry; energy above the lowest structure with this stoichiometry = 102.7 meV per atom; DFT total energy = -4.1204 eV/atom; DFT formation energy = -0.55 eV/atom; mass density = 8.2 g/cm³
1.0
-1.644 1.730 5.001
-5.366 -0.182 1.368
-1.780 -3.668 3.753
Ho Ga Sm
1 4 1
direct
0.250 0.250 0.250 Ho
0.625 0.625 0.125 Ga
0.625 0.125 0.625 Ga
0.125 0.625 0.625 Ga
0.625 0.625 0.625 Ga
0.000 0.000 0.000 Sm


Entry 11:
PBE-GGA Sm3HoGa4, optimized geometry; energy above the lowest structure with this stoichiometry = 0.0 meV per atom; DFT total energy = -4.4329 eV/atom; DFT formation energy = -0.58 eV/atom; mass density = 7.8 g/cm³
1.0
-2.451 2.447 -1.067
1.040 -0.459 -3.441
-9.852 -10.551 -1.570
Sm Ga Ho
3 4 1
direct
0.500 0.500 0.500 Sm
0.500 0.500 0.246 Sm
0.500 0.500 0.754 Sm
0.000 0.000 0.883 Ga
0.000 0.000 0.373 Ga
0.000 0.000 0.117 Ga
0.000 0.000 0.627 Ga
0.500 0.500 0.000 Ho


Entry 12:
PBE-GGA Sm2Ho3Ga2, optimized geometry; DFT total energy = -4.4882 eV/atom; DFT formation energy = -0.31 eV/atom; mass density = 7.9 g/cm³
1.0
4.171 0.000 0.000
-2.086 6.023 -0.242
0.000 -3.083 7.991
Sm Ho Ga
2 3 2
direct
0.851 0.701 0.192 Sm
0.149 0.299 0.808 Sm
0.500 0.000 0.000 Ho
0.379 0.757 0.562 Ho
0.621 0.243 0.438 Ho
0.830 0.660 0.787 Ga
0.170 0.340 0.213 Ga


Entry 13:
PBE-GGA Sm3Ho4Ga4, optimized geometry; DFT total energy = -4.4263 eV/atom; DFT formation energy = -0.37 eV/atom; mass density = 7.9 g/cm³
1.0
4.977 0.000 0.000
0.000 6.995 0.000
-2.488 -3.498 8.351
Ga Sm Ho
4 3 4
direct
0.500 0.806 0.000 Ga
0.818 0.318 0.636 Ga
0.500 0.194 0.000 Ga
0.182 0.682 0.364 Ga
0.101 0.101 0.203 Sm
0.899 0.899 0.797 Sm
0.000 0.500 0.000 Sm
0.677 0.905 0.354 Ho
0.677 0.448 0.354 Ho
0.323 0.552 0.646 Ho
0.323 0.095 0.646 Ho


Entry 14:
PBE-GGA SmHoGa4, optimized geometry; energy above the lowest structure with this stoichiometry = 0.0 meV per atom; DFT total energy = -4.2231 eV/atom; DFT formation energy = -0.66 eV/atom; mass density = 7.7 g/cm³
1.0
-1.958 2.407 -2.874
-2.017 -1.127 3.542
2.833 6.825 3.786
Ga Ho Sm
4 1 1
direct
0.667 0.333 0.244 Ga
0.333 0.667 0.244 Ga
0.333 0.667 0.756 Ga
0.667 0.333 0.756 Ga
0.000 0.000 0.000 Ho
0.000 0.000 0.500 Sm


Entry 15:
PBE-GGA SmHo4Ga, optimized geometry; DFT total energy = -4.4474 eV/atom; DFT formation energy = -0.10 eV/atom; mass density = 8.3 g/cm³
1.0
6.166 -0.653 0.000
-2.455 8.632 0.000
-1.855 -3.990 6.783
Ho Ga Sm
8 2 2
direct
0.768 0.718 0.640 Ho
0.628 0.078 0.360 Ho
0.372 0.922 0.640 Ho
0.242 0.613 0.782 Ho
0.960 0.832 0.218 Ho
0.758 0.387 0.218 Ho
0.232 0.282 0.360 Ho
0.040 0.168 0.782 Ho
0.249 0.999 0.999 Ga
0.751 0.001 0.001 Ga
0.649 0.399 0.798 Sm
0.351 0.601 0.202 Sm


Entry 16:
PBE-GGA Sm3HoGa3, optimized geometry; DFT total energy = -4.3613 eV/atom; DFT formation energy = -0.39 eV/atom; mass density = 7.6 g/cm³
1.0
-1.922 -0.278 -4.442
-5.961 -6.444 2.984
-2.281 8.977 0.425
Ga Sm Ho
6 6 2
direct
0.250 0.393 0.941 Ga
0.250 0.059 0.452 Ga
0.750 0.452 0.393 Ga
0.750 0.607 0.059 Ga
0.250 0.548 0.607 Ga
0.750 0.941 0.548 Ga
0.250 0.015 0.758 Sm
0.750 0.985 0.242 Sm
0.750 0.257 0.015 Sm
0.250 0.242 0.257 Sm
0.750 0.758 0.743 Sm
0.250 0.743 0.985 Sm
0.750 0.333 0.667 Ho
0.250 0.667 0.333 Ho


Entry 17:
PBE-GGA Sm2Ho5Ga4, optimized geometry; DFT total energy = -4.2095 eV/atom; DFT formation energy = -0.17 eV/atom; mass density = 7.6 g/cm³
1.0
-0.558 3.326 0.693
1.167 -1.254 6.958
12.457 0.607 -1.427
Ho Sm Ga
5 2 4
direct
0.865 0.186 0.729 Ho
0.237 0.215 0.474 Ho
0.135 0.814 0.271 Ho
0.763 0.785 0.526 Ho
0.500 0.000 0.000 Ho
0.097 0.295 0.193 Sm
0.903 0.705 0.807 Sm
0.026 0.654 0.052 Ga
0.680 0.506 0.360 Ga
0.974 0.346 0.948 Ga
0.320 0.494 0.640 Ga


Entry 18:
PBE-GGA Sm2HoGa, optimized geometry; energy above the lowest structure with this stoichiometry = 170.1 meV per atom; DFT total energy = -4.3536 eV/atom; DFT formation energy = -0.09 eV/atom; mass density = 8.1 g/cm³
1.0
5.380 0.000 0.000
2.690 4.659 0.000
2.690 1.553 4.393
Ho Sm Ga
1 2 1
direct
0.500 0.500 0.500 Ho
0.750 0.750 0.750 Sm
0.250 0.250 0.250 Sm
0.000 0.000 0.000 Ga


Entry 19:
PBE-GGA SmHo4Ga15, optimized geometry; DFT total energy = -3.9541 eV/atom; DFT formation energy = -0.53 eV/atom; mass density = 7.9 g/cm³
1.0
-1.144 -2.393 -3.363
0.161 -3.513 2.445
-20.537 2.621 5.119
Ga Ho Sm
15 4 1
direct
0.000 0.500 0.301 Ga
0.500 0.000 0.103 Ga
0.500 0.500 0.000 Ga
0.500 0.500 0.599 Ga
0.000 0.500 0.897 Ga
0.500 0.500 0.401 Ga
0.000 0.500 0.699 Ga
0.500 0.500 0.201 Ga
0.500 0.000 0.500 Ga
0.000 0.500 0.103 Ga
0.500 0.000 0.897 Ga
0.000 0.500 0.500 Ga
0.500 0.500 0.799 Ga
0.500 0.000 0.699 Ga
0.500 0.000 0.301 Ga
0.000 0.000 0.401 Ho
0.000 0.000 0.202 Ho
0.000 0.000 0.599 Ho
0.000 0.000 0.798 Ho
0.000 0.000 0.000 Sm


Entry 20:
PBE-GGA Sm2HoGa, optimized geometry; energy above the lowest structure with this stoichiometry = 0.0 meV per atom; DFT total energy = -4.5237 eV/atom; DFT formation energy = -0.26 eV/atom; mass density = 7.7 g/cm³
1.0
-2.898 0.385 -2.206
-2.371 -2.471 5.718
-1.362 9.139 3.385
Ga Ho Sm
2 2 4
direct
0.257 0.515 0.250 Ga
0.743 0.485 0.750 Ga
0.056 0.111 0.750 Ho
0.944 0.889 0.250 Ho
0.635 0.270 0.048 Sm
0.365 0.730 0.548 Sm
0.635 0.270 0.452 Sm
0.365 0.730 0.952 Sm